Compound: LiAgHg3
Source: the Alexandria database
Functional: PBE
Structure: optimized geometry

Properties
magnetic moment = 0.00 μB per atom
DOS at the Fermi energy = 1.5 states/eV per cell
offset from the most stable computed form = 141 kJ/mol of formula units
uncorrected energy = -0.94 eV/atom

a b c (Å): 4.9847 4.9847 4.9847
angles (deg): 90.00 90.00 90.00
Space group Pm-3m (No. 221)
Symmetry-distinct sites (fractional):
Li  0.0000  0.0000  0.0000 [1 per cell]
Ag  0.5000  0.5000  0.5000 [1 per cell]
Hg  0.0000  0.0000  0.5000 [3 per cell]

=====

Compound: K2AsSe2
Source: the Alexandria database
Functional: PBE
Structure: optimized geometry

Properties
magnetic moment = 0.00 μB per atom
DOS at the Fermi energy = 6.2 states/eV per cell
energy relative to the elements, uncorrected = -0.55 eV per atom
offset from the most stable computed form = 61 kJ/mol of formula units
uncorrected energy = -3.32 eV/atom

a b c (Å): 7.6183 7.6183 4.8920
angles (deg): 90.00 90.00 90.00
Space group P4/mbm (No. 127)
Symmetry-distinct sites (fractional):
K  0.1439  0.3561  0.0000 [4 per cell]
As  0.0000  0.0000  0.5000 [2 per cell]
Se  0.1765  0.6765  0.5000 [4 per cell]

=====

Compound: BeBr2O
Source: the Alexandria database
Functional: PBE
Structure: optimized geometry

Properties
magnetic moment = 0.50 μB per atom
DOS at the Fermi energy = 29.9 states/eV per cell
energy relative to the elements, uncorrected = 0.25 eV per atom
offset from the most stable computed form = 102 kJ/mol of formula units
uncorrected energy = -2.76 eV/atom

a b c (Å): 4.7300 4.7300 21.7776
angles (deg): 90.00 90.00 120.00
Space group R-3m (No. 166, hexagonal axes)
Symmetry-distinct sites (fractional):
Be  0.0000  0.0000  0.0000 [3 per cell]
Br  0.0000  0.0000  0.0895 [6 per cell]
O  0.0000  0.0000  0.5000 [3 per cell]

=====

Compound: CaAcTlAu
Source: the Alexandria database
Functional: PBE
Structure: optimized geometry

Properties
magnetic moment = 0.00 μB per atom
DOS at the Fermi energy = 2.7 states/eV per cell
offset from the most stable computed form = 0 kJ/mol of formula units
uncorrected energy = -3.52 eV/atom

a b c (Å): 3.8482 3.8482 8.0044
angles (deg): 90.00 90.00 90.00
Space group P4mm (No. 99)
Symmetry-distinct sites (fractional):
Ca  0.0000  0.0000  0.0000 [1 per cell]
Ac  0.0000  0.0000  0.4620 [1 per cell]
Tl  0.5000  0.5000  0.7505 [1 per cell]
Au  0.5000  0.5000  0.2188 [1 per cell]

=====

Compound: HfTl2AsCl
Source: the Alexandria database
Functional: PBE
Structure: optimized geometry

Properties
magnetic moment = 0.29 μB per atom
DOS at the Fermi energy = 5.1 states/eV per cell
energy relative to the elements, uncorrected = 0.79 eV per atom
uncorrected energy = -3.44 eV/atom

a b c (Å): 5.5737 5.5737 4.8151
angles (deg): 90.00 90.00 90.00
Space group P4/mmm (No. 123)
Symmetry-distinct sites (fractional):
Hf  0.0000  0.0000  0.0000 [1 per cell]
Tl  0.0000  0.5000  0.5000 [2 per cell]
As  0.5000  0.5000  0.5000 [1 per cell]
Cl  0.5000  0.5000  0.0000 [1 per cell]

=====

Compound: YCu2Si
Source: the Alexandria database
Functional: PBE
Structure: optimized geometry

Properties
magnetic moment = 0.00 μB per atom
DOS at the Fermi energy = 4.0 states/eV per cell
energy relative to the elements, uncorrected = -0.40 eV per atom
uncorrected energy = -5.42 eV/atom

a b c (Å): 3.8902 3.8902 9.1209
angles (deg): 90.00 90.00 90.00
Space group P4/nmm (No. 129, origin choice 2)
Symmetry-distinct sites (fractional):
Y  0.2500  0.2500  0.2358 [2 per cell]
Cu  0.2500  0.2500  0.9215 [2 per cell]
Cu  0.2500  0.7500  0.5000 [2 per cell]
Si  0.2500  0.2500  0.6542 [2 per cell]